Computed, not measured: a relaxed structure of CaCeAu4 at the PBE level of DFT.

Lattice parameters (Å, degrees): 4.7811 4.7826 8.5466 73.67 73.68 120.03
Closest atoms and distances in Å follow each position.
Fractional coordinates of all 6 atoms:
Au 0.0815 0.4107 0.7514  3 Au 2.76
Au 0.5879 0.9172 0.2449  3 Au 2.76
Au 0.4151 0.0778 0.7510  3 Au 2.76
Au 0.9207 0.5834 0.2453  3 Au 2.76
Ce 0.5013 0.4973 0.9981  12 Au 3.26-3.27, 2 Ca 3.53
Ca 0.0013 0.9973 0.4981  12 Au 3.28-3.29, 2 Ce 3.53

Output
Polymorph energy (0 for the lowest one)   0 meV/atom
Space-group type   C2/m
VASP energy   -4.175 eV/atom
ΔE_f   -0.6670 eV/atom